Below is crystalline Ba2LiGa3Au4 at its relaxed geometry, with properties calculated at the PBE level.

The calculation puts the formation energy at -5.85 eV per formula unit. The density of states at the Fermi level comes out at 5.65 states/eV per cell.

It has space group P-4m2 (No. 115), with a = 4.670 Å, b = 4.670 Å, c = 10.853 Å, α = 90.00°, β = 90.00° and γ = 90.00°. The asymmetric unit holds Ba at (0.000, 0.500, 0.248), Li at (0.000, 0.000, 0.500), Ga at (0.000, 0.500, 0.880), Ga at (0.500, 0.500, 0.500), Au at (0.000, 0.000, 0.000), Au at (0.000, 0.500, 0.628) and Au at (0.500, 0.500, 0.000).